This record from Alexandria via LeMat-Bulk describes crystalline Mn2SeO at its relaxed geometry. The functional is PBE+U.

Unit cell a=6.2931 b=6.2931 c=6.2931 alpha=90.00 beta=90.00 gamma=90.00
Last column: nearest neighbours and their distance in Å.
Space group Fm-3m (No. 225)
Symmetry-distinct sites (fractional):
Mn 0.2500 0.2500 0.2500 x8  4 O 2.73, 4 Se 2.73
Se 0.0000 0.0000 0.0000 x4  8 Mn 2.73
O 0.0000 0.0000 0.5000 x4  8 Mn 2.73

Results
M_tot	40.000	μB per cell
VASP energy	-6.2379	eV per atom
density of states at the Fermi level	0.0	states/eV per cell